Record 1
Below is a crystal of CeAs2Pd3 relaxed with PBEsol, with properties calculated at the meta-GGA SCAN level.

Geometry as POSCAR:
```
CeAs2Pd3
1.0
8.2487 -2.0332 0.0000
8.2487 2.0332 0.0000
-3.0216 0.0000 9.4248
Ce As Pd
3 6 9
Cartesian
0.0000 0.0000 0.0000
0.4542 0.0000 6.6333
13.0216 0.0000 2.7915
2.8728 0.0000 1.2309
4.3612 0.0000 5.0903
6.9989 0.0000 1.9565
6.4770 0.0000 7.4683
9.1146 0.0000 4.3345
10.6031 0.0000 8.1939
-0.3511 0.0000 3.1550
2.3919 0.0000 3.7215
5.1926 0.0000 0.2866
3.7644 0.0000 7.4689
6.7379 0.0000 4.7124
9.7114 0.0000 1.9559
8.2832 0.0000 9.1382
11.0840 0.0000 5.7033
13.8269 0.0000 6.2698
```

## Properties
Space-group type   C2/m, No. 12
Volume   17.563 A^3/atom
Total DFT energy (no corrections)   -31.458 eV per atom

---

Record 2
Below is a crystal of Ce3AsS3 relaxed with PBEsol, with properties calculated at the meta-GGA SCAN level.

Geometry as POSCAR:
```
Ce3AsS3
1.0
4.2243 -5.9995 0.0000
4.2243 5.9995 0.0000
-4.2221 0.0000 5.9445
Ce As S
6 2 6
Cartesian
2.1133 5.2358 2.9723
1.1242 1.5374 3.7237
4.2871 2.2376 1.5144
3.2352 -1.5374 0.7514
2.1761 -2.2376 4.4867
4.2243 -5.2358 0.0000
-1.4075 0.9293 5.2146
0.7036 -0.9293 2.2423
1.5087 2.9863 1.3187
0.6959 3.9320 5.2185
-0.6023 -2.9863 4.2909
3.6086 0.0071 3.1548
5.7197 -0.0071 0.1826
2.8069 -3.9320 2.2462
```

## Properties
Space-group type   Cc, No. 9
Volume   21.523 A^3/atom
ΔE to the lowest computed polymorph   0.006 eV/atom
Uncorrected formation energy   -200 kJ/mol of atoms

---

Record 3
Below is a crystal of Ce3AsS3 relaxed with PBEsol, with properties calculated at the meta-GGA SCAN level.

Geometry as POSCAR:
```
Ce3AsS3
1.0
8.4518 0.0000 0.0000
0.0000 8.4518 0.0000
0.0000 0.0000 8.4518
Ce As S
12 4 12
Cartesian
0.0231 2.1273 3.1557
1.0702 8.4287 6.3532
2.0986 5.2961 4.2490
2.1273 3.1557 0.0231
3.1557 0.0231 2.1273
4.2028 6.3245 7.3816
4.2490 2.0986 5.2961
5.2961 4.2490 2.0986
6.3245 7.3816 4.2028
6.3532 1.0702 8.4287
7.3816 4.2028 6.3245
8.4287 6.3532 1.0702
1.4572 2.7687 5.6831
2.7687 5.6831 1.4572
5.6831 1.4572 2.7687
6.9947 6.9947 6.9947
0.6322 7.8196 3.5937
0.6571 0.6571 0.6571
1.4427 5.6686 7.0091
2.7832 2.7832 2.7832
3.5688 7.7947 4.8830
3.5937 0.6322 7.8196
4.8581 4.8581 4.8581
4.8830 3.5688 7.7947
5.6686 7.0091 1.4427
7.0091 1.4427 5.6686
7.7947 4.8830 3.5688
7.8196 3.5937 0.6322
```

## Properties
Space-group type   P2_13, No. 198
Volume   21.562 A^3/atom
ΔE to the lowest computed polymorph   0.000 eV/atom
Uncorrected formation energy   -201 kJ/mol of atoms

---

Record 4
Below is a crystal of Ce3SbAs2 relaxed with PBEsol, with properties calculated at the meta-GGA SCAN level.

Geometry as POSCAR:
```
Ce3SbAs2
1.0
-2.1122 3.0084 6.3758
2.1122 -3.0084 6.3758
2.1122 3.0084 -6.3758
Ce Sb As
3 1 2
Cartesian
0.0000 0.0000 0.0000
0.0000 0.0000 4.1156
0.0000 0.0000 8.6361
0.0000 3.0084 0.0000
2.1122 0.0000 2.0812
0.0000 3.0084 4.2946
```

## Properties
Space-group type   Immm, No. 71
Volume   27.010 A^3/atom
Uncorrected formation energy   -137 kJ/mol of atoms

---

Record 5
Below is a crystal of As5Cl relaxed with PBEsol, with properties calculated at the meta-GGA SCAN level.

Geometry as POSCAR:
```
As5Cl
1.0
5.3554 0.0000 0.0000
-2.6777 4.6379 0.0000
0.0000 0.0000 4.8546
As Cl
5 1
Cartesian
-1.3389 2.3190 0.0000
0.0000 3.0919 2.4273
2.6777 0.0000 0.0000
1.3389 2.3190 0.0000
2.6777 1.5460 2.4273
0.0000 0.0000 2.4273
```

## Properties
Space-group type   P6/mmm, No. 191
Volume   20.096 A^3/atom
Uncorrected formation energy   32 kJ/mol of atoms

---

Record 6
Below is a crystal of AsCl5 relaxed with PBEsol, with properties calculated at the meta-GGA SCAN level.

Geometry as POSCAR:
```
AsCl5
1.0
7.0117 -1.8179 0.0000
7.0117 1.8179 0.0000
-0.5459 0.0000 7.2660
As Cl
1 5
Cartesian
0.0000 0.0000 0.0000
2.0812 0.0000 3.4091
2.7931 0.0000 1.5564
6.3983 0.0000 1.6148
7.3913 0.0000 5.7573
11.5249 0.0000 6.2972
```

## Properties
Space-group type   Cm, No. 8
Volume   30.872 A^3/atom
Uncorrected formation energy   -42 kJ/mol of atoms

---

Record 7
Below is a crystal of AsCl5 relaxed with PBEsol, with properties calculated at the meta-GGA SCAN level.

Geometry as POSCAR:
```
AsCl5
1.0
7.4750 0.0000 0.0000
0.0000 7.6246 0.0000
0.0000 0.0000 6.4239
As Cl
2 10
Cartesian
1.8688 1.9061 1.2816
5.6063 5.7184 5.1423
0.0356 1.9061 2.4185
1.8688 1.9061 5.5489
1.8688 4.1502 1.2566
1.8688 7.2866 1.2566
3.7019 1.9061 2.4185
3.7732 5.7184 4.0054
5.6063 0.3379 5.1673
5.6063 3.4743 5.1673
5.6063 5.7184 0.8750
7.4394 5.7184 4.0054
```

## Properties
Space-group type   Pmmn, No. 59
Volume   30.511 A^3/atom
Uncorrected formation energy   -47 kJ/mol of atoms

---

Record 8
Below is a crystal of AsCl2 relaxed with PBEsol, with properties calculated at the meta-GGA SCAN level.

Geometry as POSCAR:
```
AsCl2
1.0
-1.5716 1.5716 6.3258
1.5716 -1.5716 6.3258
1.5716 1.5716 -6.3258
As Cl
1 2
Cartesian
0.0000 0.0000 0.0000
0.0000 0.0000 4.6607
0.0000 0.0000 7.9909
```

## Properties
Space-group type   I4/mmm, No. 139
Volume   20.832 A^3/atom
Uncorrected formation energy   10 kJ/mol of atoms

---

Record 9
Below is a crystal of AsCl3 relaxed with PBEsol, with properties calculated at the meta-GGA SCAN level.

Geometry as POSCAR:
```
AsCl3
1.0
4.9551 0.0000 0.0000
0.0000 6.8253 0.0000
0.0000 0.0000 8.3154
As Cl
2 6
Cartesian
1.2388 1.7063 1.2523
3.7163 5.1190 7.0631
1.2388 0.0615 2.6588
1.2388 3.3512 2.6588
1.2388 5.1190 7.5411
3.7163 1.7063 0.7743
3.7163 3.4742 5.6566
3.7163 6.7639 5.6566
```

## Properties
Space-group type   Pmmn, No. 59
Volume   35.154 A^3/atom
Uncorrected formation energy   -67 kJ/mol of atoms

---

Record 10
Below is a crystal of AsCl3 relaxed with PBEsol, with properties calculated at the meta-GGA SCAN level.

Geometry as POSCAR:
```
AsCl3
1.0
8.0399 0.0000 0.0000
0.0000 9.1100 0.0000
0.0000 0.0000 6.3572
As Cl
4 12
Cartesian
0.1098 2.2775 0.1626
3.9102 6.8325 3.3412
4.1298 2.2775 3.0160
7.9301 6.8325 6.1946
0.8516 2.2775 4.4550
1.3545 0.6472 0.9760
1.3545 3.9079 0.9760
2.6654 5.2022 4.1546
2.6654 8.4629 4.1546
3.1683 6.8325 1.2764
4.8716 2.2775 5.0807
5.3745 0.6472 2.2026
5.3745 3.9079 2.2026
6.6854 5.2022 5.3812
6.6854 8.4629 5.3812
7.1883 6.8325 1.9021
```

## Properties
Space-group type   Pnma, No. 62
Volume   29.102 A^3/atom
Uncorrected formation energy   -74 kJ/mol of atoms

---

Record 11
Below is a crystal of AsCl3 relaxed with PBEsol, with properties calculated at the meta-GGA SCAN level.

Geometry as POSCAR:
```
AsCl3
1.0
4.0754 0.0000 0.0000
0.0000 9.6835 0.0000
0.0000 0.0000 11.7998
As Cl
4 12
Cartesian
0.0033 1.9196 2.5364
2.0344 7.7639 8.4362
2.0410 2.9221 9.2634
4.0721 6.7614 3.3635
0.9159 2.8774 7.3714
0.9478 1.3333 10.3304
1.0005 4.6273 10.1899
1.0372 5.0562 4.2900
1.0899 8.3502 4.4305
1.1218 6.8061 1.4716
2.9536 1.9643 4.4283
2.9855 3.5084 1.4694
3.0382 0.2144 1.6099
3.0749 9.4691 7.5098
3.1275 6.1751 7.3693
3.1595 7.7192 10.3282
```

## Properties
Space-group type   P2_12_12_1, No. 19
Volume   29.104 A^3/atom
Uncorrected formation energy   -74 kJ/mol of atoms

---

Record 12
Below is a crystal of CoAsCl2 relaxed with PBEsol, with properties calculated at the meta-GGA SCAN level.

Geometry as POSCAR:
```
CoAsCl2
1.0
-1.5390 2.4346 6.0369
1.5390 -2.4346 6.0369
1.5390 2.4346 -6.0369
Co As Cl
1 1 2
Cartesian
0.0000 0.0000 0.0000
1.5390 0.0000 1.8192
0.0000 0.0000 7.1790
0.0000 2.4346 4.4309
```

## Properties
Space-group type   Imm2, No. 44
Volume   22.620 A^3/atom
ΔE to the lowest computed polymorph   0.000 eV/atom
Uncorrected formation energy   -29 kJ/mol of atoms

---

Record 13
Below is a crystal of CoAsCl2 relaxed with PBEsol, with properties calculated at the meta-GGA SCAN level.

Geometry as POSCAR:
```
CoAsCl2
1.0
3.0050 0.0000 0.0000
0.0000 4.1550 0.0000
0.0000 0.0000 5.5589
Co As Cl
1 1 2
Cartesian
0.0000 0.0000 0.0000
1.5025 0.0000 2.7794
0.0000 2.0775 2.7794
1.5025 2.0775 0.0000
```

## Properties
Space-group type   Pmmm, No. 47
Volume   17.352 A^3/atom
ΔE to the lowest computed polymorph   0.493 eV/atom
Uncorrected formation energy   19 kJ/mol of atoms

---

Record 14
Below is a crystal of Co2AsCl relaxed with PBEsol, with properties calculated at the meta-GGA SCAN level.

Geometry as POSCAR:
```
Co2AsCl
1.0
2.8810 0.0000 0.0000
0.0000 3.0280 0.0000
0.0000 0.0000 6.2582
Co As Cl
2 1 1
Cartesian
0.0000 0.0000 1.2290
0.0000 0.0000 5.0292
1.4405 1.5140 0.0000
1.4405 0.0000 3.1291
```

## Properties
Space-group type   Pmmm, No. 47
Volume   13.649 A^3/atom
ΔE to the lowest computed polymorph   0.000 eV/atom
Uncorrected formation energy   6 kJ/mol of atoms

---

Record 15
Below is a crystal of Co2AsCl relaxed with PBEsol, with properties calculated at the meta-GGA SCAN level.

Geometry as POSCAR:
```
Co2AsCl
1.0
-2.5552 2.5552 4.9890
2.5552 -2.5552 4.9890
2.5552 2.5552 -4.9890
Co As Cl
4 2 2
Cartesian
1.2776 1.2041 -1.2472
1.3510 -1.2776 6.2362
1.2776 1.3510 3.7417
1.2041 3.8327 1.2472
2.5552 0.0000 2.4945
0.0000 0.0000 4.9890
0.0000 0.0000 0.0000
0.0000 2.5552 2.4945
```

## Properties
Space-group type   I-42d, No. 122
Volume   16.286 A^3/atom
ΔE to the lowest computed polymorph   0.216 eV/atom
Uncorrected formation energy   27 kJ/mol of atoms

---

Record 16
Below is a crystal of CoAs2Cl relaxed with PBEsol, with properties calculated at the meta-GGA SCAN level.

Geometry as POSCAR:
```
CoAs2Cl
1.0
-1.4338 2.1384 5.2974
1.4338 -2.1384 5.2974
1.4338 2.1384 -5.2974
Co As Cl
1 2 1
Cartesian
0.0000 0.0000 0.0000
1.4338 0.0000 1.9849
0.0000 2.1384 3.3125
0.0000 0.0000 5.2974
```

## Properties
Space-group type   Immm, No. 71
Volume   16.242 A^3/atom
ΔE to the lowest computed polymorph   0.225 eV/atom
Uncorrected formation energy   18 kJ/mol of atoms

---

Record 17
Below is a crystal of CoAs2Cl relaxed with PBEsol, with properties calculated at the meta-GGA SCAN level.

Geometry as POSCAR:
```
CoAs2Cl
1.0
-1.5694 1.9055 6.1037
1.5694 -1.9055 6.1037
1.5694 1.9055 -6.1037
Co As Cl
1 2 1
Cartesian
0.0000 0.0000 0.0000
1.5694 0.0000 1.9093
0.0000 0.0000 6.3710
0.0000 1.9055 4.1698
```

## Properties
Space-group type   Imm2, No. 44
Volume   18.252 A^3/atom
ΔE to the lowest computed polymorph   0.074 eV/atom
Uncorrected formation energy   3 kJ/mol of atoms

---

Record 18
Below is a crystal of CoAs2Cl relaxed with PBEsol, with properties calculated at the meta-GGA SCAN level.

Geometry as POSCAR:
```
CoAs2Cl
1.0
1.7538 1.0126 6.5520
-1.7538 1.0126 6.5520
0.0000 -2.0252 6.5520
Co As Cl
1 2 1
Cartesian
0.0000 0.0000 0.0000
0.0000 0.0000 5.4142
0.0000 0.0000 14.2418
0.0000 0.0000 9.8280
```

## Properties
Space-group type   R-3m, No. 166
Volume   17.454 A^3/atom
ΔE to the lowest computed polymorph   0.000 eV/atom
Uncorrected formation energy   -4 kJ/mol of atoms

---

Record 19
Below is a crystal of Cr2AsCl relaxed with PBEsol, with properties calculated at the meta-GGA SCAN level.

Geometry as POSCAR:
```
Cr2AsCl
1.0
3.1772 0.0000 0.0000
0.0000 3.1772 0.0000
0.0000 0.0000 6.5847
Cr As Cl
2 1 1
Cartesian
0.0000 0.0000 1.4222
0.0000 0.0000 5.1624
1.5886 1.5886 0.0000
1.5886 1.5886 3.2923
```

## Properties
Space-group type   P4/mmm, No. 123
Volume   16.617 A^3/atom
ΔE to the lowest computed polymorph   0.000 eV/atom
Uncorrected formation energy   -22 kJ/mol of atoms

---

Record 20
Below is a crystal of CrAsCl relaxed with PBEsol, with properties calculated at the meta-GGA SCAN level.

Geometry as POSCAR:
```
CrAsCl
1.0
-1.4200 1.4200 6.2964
1.4200 -1.4200 6.2964
1.4200 1.4200 -6.2964
Cr As Cl
1 1 1
Cartesian
0.0000 0.0000 0.0000
0.0000 0.0000 7.9411
0.0000 0.0000 4.9349
```

## Properties
Space-group type   I4mm, No. 107
Volume   16.929 A^3/atom
Uncorrected formation energy   -16 kJ/mol of atoms